(1)
## CsGaHg2I (PBE)

Data for a relaxed structure of CsGaHg2I.

POSCAR file:
```
CsGaHg2I
1.0
-5.317 -1.150 -0.817
1.247 -5.321 -0.623
-0.789 -0.941 6.460
Hg Ga Cs I
2 1 1 1
Direct
0.500 0.000 0.000 Hg
0.000 0.500 0.000 Hg
0.000 0.000 0.000 Ga
0.500 0.500 0.500 Cs
0.000 0.000 0.500 I
```

Results
The space group is P4/mmm, No. 123. The polymorph energy (0 for the lowest one) comes out at 0.0 kJ/mol of formula units. Its formation energy without anion corrections is -44.9 kJ per mole of atoms.

(2)
## Cs2GaHgI3 (PBE)

Data for a relaxed structure of Cs2GaHgI3.

POSCAR file:
```
Cs2GaHgI3
1.0
5.402 0.000 0.000
0.000 6.178 0.000
-2.701 -3.089 10.135
Cs Ga Hg I
2 1 1 3
Direct
0.649 0.649 0.299 Cs
0.351 0.351 0.701 Cs
0.000 0.000 0.000 Ga
0.500 0.000 0.000 Hg
0.160 0.160 0.320 I
0.840 0.840 0.680 I
0.000 0.500 0.000 I
```

Results
The space group is Immm, No. 71. Its formation energy without anion corrections is -93.6 kJ per mole of atoms.

(3)
## CsGaHg2I (PBE)

Data for a relaxed structure of CsGaHg2I.

POSCAR file:
```
CsGaHg2I
1.0
6.994 0.000 0.000
0.000 7.224 0.000
0.000 0.000 6.994
Ga I Hg Cs
1 1 2 1
Direct
0.000 0.500 0.000 Ga
0.500 0.500 0.500 I
0.500 0.000 0.000 Hg
0.000 0.000 0.500 Hg
0.000 0.000 0.000 Cs
```

Results
The space group is P4/mmm, No. 123. The polymorph energy (0 for the lowest one) comes out at 324.7 kJ/mol of formula units. Its formation energy without anion corrections is 20.0 kJ per mole of atoms.

(4)
## CsInGaHg2 (PBE)

Data for a relaxed structure of CsInGaHg2.

POSCAR file:
```
CsInGaHg2
1.0
-5.459 0.848 0.178
-0.279 -0.646 -5.482
-0.861 -5.692 0.715
In Hg Cs Ga
1 2 1 1
Direct
0.000 0.000 0.500 In
0.500 0.000 0.000 Hg
0.000 0.500 0.000 Hg
0.500 0.500 0.500 Cs
0.000 0.000 0.000 Ga
```

Results
The space group is P4/mmm, No. 123. The polymorph energy (0 for the lowest one) comes out at 0.0 kJ/mol of formula units. As for the formation energy from the elements: -19.0 meV per atom.

(5)
## CsInGaHg2 (PBE)

Data for a relaxed structure of CsInGaHg2.

POSCAR file:
```
CsInGaHg2
1.0
5.802 0.000 0.000
0.000 5.802 0.000
0.000 0.000 5.649
In Ga Hg Cs
1 1 2 1
Direct
0.000 0.000 0.000 In
0.000 0.000 0.500 Ga
0.000 0.500 0.000 Hg
0.500 0.000 0.000 Hg
0.500 0.500 0.500 Cs
```

Results
The space group is P4/mmm, No. 123. The polymorph energy (0 for the lowest one) comes out at 26.5 kJ/mol of formula units. As for the formation energy from the elements: 35.8 meV per atom.

(6)
## CsGaHg2Ir (PBE)

Data for a relaxed structure of CsGaHg2Ir.

POSCAR file:
```
CsGaHg2Ir
1.0
5.474 0.000 0.000
0.000 5.474 0.000
0.000 0.000 4.860
Cs Hg Ir Ga
1 2 1 1
Direct
0.500 0.500 0.500 Cs
0.500 0.000 0.000 Hg
0.000 0.500 0.000 Hg
0.000 0.000 0.000 Ir
0.000 0.000 0.500 Ga
```

Results
The space group is P4/mmm, No. 123. As for the formation energy from the elements: -195.3 meV per atom.

(7)
## Cs2GaHgIr (PBE)

Data for a relaxed structure of Cs2GaHgIr.

POSCAR file:
```
Cs2GaHgIr
1.0
-2.975 -1.838 5.722
4.023 -2.195 1.386
2.091 5.669 2.909
Ga Hg Cs Ir
1 1 2 1
Direct
0.000 0.500 0.000 Ga
0.500 0.500 0.500 Hg
0.500 0.000 0.000 Cs
0.000 0.000 0.500 Cs
0.000 0.000 0.000 Ir
```

Results
The space group is P4/mmm, No. 123. As for the formation energy from the elements: 177.4 meV per atom.

(8)
## CsKGaHg2 (PBE)

Data for a relaxed structure of CsKGaHg2.

POSCAR file:
```
CsKGaHg2
1.0
-0.008 4.854 -2.725
-3.062 2.272 4.056
5.339 1.728 3.063
Ga K Hg Cs
1 1 2 1
Direct
0.000 0.000 0.000 Ga
0.000 0.000 0.500 K
0.500 0.000 0.000 Hg
0.000 0.500 0.000 Hg
0.500 0.500 0.500 Cs
```

Results
The space group is P4/mmm, No. 123. As for the formation energy from the elements: -69.4 meV per atom.

(9)
## Cs2KGaHg (PBE)

Data for a relaxed structure of Cs2KGaHg.

POSCAR file:
```
Cs2KGaHg
1.0
-3.002 -2.078 -6.581
0.558 -7.226 2.027
-4.916 0.229 2.170
Ga Cs K Hg
1 2 1 1
Direct
0.000 0.000 0.500 Ga
0.000 0.500 0.000 Cs
0.500 0.000 0.000 Cs
0.500 0.500 0.500 K
0.000 0.000 0.000 Hg
```

Results
The space group is P4/mmm, No. 123. The polymorph energy (0 for the lowest one) comes out at 0.0 kJ/mol of formula units. As for the formation energy from the elements: 37.1 meV per atom.

(10)
## CsMgGaHg2 (PBE)

Data for a relaxed structure of CsMgGaHg2.

POSCAR file:
```
CsMgGaHg2
1.0
-4.213 3.412 1.279
-1.928 -0.428 -5.209
-3.059 -4.335 1.489
Hg Ga Cs Mg
2 1 1 1
Direct
0.000 0.500 0.000 Hg
0.500 0.000 0.000 Hg
0.000 0.000 0.000 Ga
0.500 0.500 0.500 Cs
0.000 0.000 0.500 Mg
```

Results
The space group is P4/mmm, No. 123. As for the formation energy from the elements: -8.0 meV per atom.

(11)
## CsNaGaHg2 (PBE)

Data for a relaxed structure of CsNaGaHg2.

POSCAR file:
```
CsNaGaHg2
1.0
5.508 0.000 0.000
0.000 5.508 0.000
0.000 0.000 5.872
Na Hg Cs Ga
1 2 1 1
Direct
0.000 0.000 0.500 Na
0.500 0.000 0.000 Hg
0.000 0.500 0.000 Hg
0.500 0.500 0.500 Cs
0.000 0.000 0.000 Ga
```

Results
The space group is P4/mmm, No. 123. As for the formation energy from the elements: -126.3 meV per atom.

(12)
## CsGaNiHg2 (PBE)

Data for a relaxed structure of CsGaNiHg2.

POSCAR file:
```
CsGaNiHg2
1.0
-0.385 -3.450 -4.069
-1.849 -3.740 3.346
-4.451 1.465 -0.821
Hg Ga Ni Cs
2 1 1 1
Direct
0.500 0.000 0.000 Hg
0.000 0.500 0.000 Hg
0.000 0.000 0.500 Ga
0.000 0.000 0.000 Ni
0.500 0.500 0.500 Cs
```

Results
The space group is P4/mmm, No. 123. As for the formation energy from the elements: -98.6 meV per atom.

Number 1: spin magnetization 0.00 μB per formula unit. Number 2: spin magnetization 0.00 μB per formula unit. Number 3: spin magnetization 0.00 μB per formula unit. Number 4: spin magnetization 0.00 μB per formula unit. Number 5: spin magnetization 0.00 μB per formula unit. Number 6: spin magnetization 0.00 μB per formula unit. Number 7: spin magnetization 0.00 μB per formula unit. Number 8: spin magnetization 0.00 μB per formula unit. Number 9: spin magnetization 0.00 μB per formula unit. Number 10: spin magnetization 0.00 μB per formula unit. Number 11: spin magnetization 0.00 μB per formula unit. Number 12: spin magnetization 0.00 μB per formula unit.